The following is a DFT calculation (GGA-PBEsol) of a relaxed Li3Mn5OF11 crystal.

Geometry as POSCAR:
```
Li3Mn5OF11
1.0
-4.1416 0.9732 3.1717
0.7133 -0.5121 5.5144
3.8989 7.8444 2.8627
Mn Li O F
5 3 1 11
Cartesian
-0.3419 0.4769 4.1035
-0.9162 1.4813 7.1757
3.1995 4.7859 7.2238
-2.6870 3.4144 4.3876
1.4011 6.9280 4.1293
-0.2778 4.8995 7.0806
0.8862 3.5227 4.5555
0.7038 7.7625 7.5874
-1.3941 0.2565 5.7356
1.3901 5.6496 7.6967
-2.6663 2.3860 7.9051
0.2973 3.0443 6.5697
0.3195 0.9025 2.0255
1.9623 3.5496 2.8698
1.6509 8.1140 5.8797
-1.4004 4.6365 8.7177
-0.0222 7.3624 9.4853
0.3084 5.3498 4.9305
-0.8788 2.6208 3.7641
3.1720 5.9117 3.6644
```

## Properties
Formation energy (no corrections) in eV/atom: -2.298
Raw total energy in eV per cell: -127.1

=====

The following is a DFT calculation (GGA-PBEsol) of a relaxed ZnPt2N crystal.

Geometry as POSCAR:
```
ZnPt2N
1.0
-0.0540 3.2891 -2.5401
-2.3681 -0.0505 -3.4152
-3.3846 2.4022 -0.2176
Zn Pt N
1 2 1
Cartesian
-2.9033 2.8204 -3.0864
-1.4517 1.4102 -1.5432
-4.3550 4.2306 -4.6297
0.0000 0.0000 0.0000
```

## Properties
Formation energy (no corrections) in eV/atom: 0.900
Raw total energy in eV per cell: -20.4

=====

The following is a DFT calculation (GGA-PBEsol) of a relaxed Fe5B2P crystal.

Geometry as POSCAR:
```
Fe5B2P
1.0
5.3529 0.0000 0.0000
0.0000 5.3529 0.0000
-2.6764 -2.6764 5.0690
Fe B P
10 4 2
Cartesian
2.6764 2.6764 0.0000
1.7706 0.9059 3.6561
-0.9059 1.7706 3.6561
0.9059 1.7706 1.4129
4.4470 3.5823 1.4129
1.7706 4.4470 1.4129
3.5823 0.9059 1.4129
0.9059 -1.7706 3.6561
0.0000 0.0000 0.0000
-1.7706 -0.9059 3.6561
0.6495 3.3259 0.0000
3.3259 4.7034 0.0000
4.7034 2.0270 0.0000
2.0270 0.6495 0.0000
2.6764 2.6764 2.5345
0.0000 0.0000 2.5345
```

## Properties
Formation energy from the elements in eV/atom: -0.46
Raw total energy in eV per cell: -136.7

=====

The following is a DFT calculation (GGA-PBEsol) of a relaxed LuAu crystal.

Geometry as POSCAR:
```
LuAu
1.0
3.4675 0.0000 0.0000
0.0000 3.4675 0.0000
0.0000 0.0000 3.4675
Lu Au
1 1
Cartesian
0.0000 0.0000 0.0000
1.7337 1.7337 1.7337
```

## Properties
Formation energy from the elements in eV/atom: -0.92
Raw total energy in eV per cell: -10.6

=====

The following is a DFT calculation (GGA-PBEsol) of a relaxed HfWNF2 crystal.

Geometry as POSCAR:
```
HfWNF2
1.0
4.0613 0.0000 0.0000
0.0000 4.0613 0.0000
0.0000 0.0000 4.2997
N Hf W F
1 1 1 2
Cartesian
0.0000 0.0000 2.1499
0.0000 0.0000 0.0000
2.0306 2.0306 2.1499
0.0000 2.0306 0.0000
2.0306 0.0000 0.0000
```

## Properties
Formation energy (no corrections) in eV/atom: -0.601
Raw total energy in eV per cell: -39.7

=====

The following is a DFT calculation (GGA-PBEsol) of a relaxed Y2TeAs crystal.

Geometry as POSCAR:
```
Y2TeAs
1.0
4.1408 0.0000 0.0000
2.0704 3.5860 0.0000
2.0704 1.1953 6.9778
Y As Te
2 1 1
Cartesian
6.2112 3.5860 5.0148
2.0704 1.1953 1.9630
4.1408 2.3907 3.4889
0.0000 0.0000 0.0000
```

## Properties
Polymorph energy (0 for the lowest one) in eV per formula unit: 0.000
Formation energy (no corrections) in eV/atom: -1.563
Raw total energy in eV per cell: -28.5

=====

The following is a DFT calculation (GGA-PBEsol) of a relaxed AgHg2 crystal.

Geometry as POSCAR:
```
AgHg2
1.0
2.9008 0.0000 0.0000
0.0000 4.9208 0.0000
0.0000 0.0000 4.9208
Hg Ag
2 1
Cartesian
1.4504 0.0000 2.4604
1.4504 2.4604 0.0000
0.0000 0.0000 0.0000
```

## Properties
Formation energy from the elements in eV/atom: 0.05
Polymorph energy (0 for the lowest one) in eV per formula unit: 0.072
Raw total energy in eV per cell: -4.3

=====

The following is a DFT calculation (GGA-PBEsol) of a relaxed CrN crystal.

Geometry as POSCAR:
```
CrN
1.0
-0.7822 1.0148 -2.5703
0.0531 -1.7196 -2.2997
-2.4601 -0.8703 -1.1994
Cr N
1 1
Cartesian
-1.5946 -0.7875 -3.0347
0.0000 0.0000 0.0000
```

## Properties
Formation energy (no corrections) in eV/atom: -0.495
Raw total energy in eV per cell: -19.8

=====

The following is a DFT calculation (GGA-PBEsol) of a relaxed LaPbCl2 crystal.

Geometry as POSCAR:
```
LaPbCl2
1.0
5.3230 0.0000 0.0000
2.6615 4.6099 0.0000
2.6615 1.5366 4.3462
Pb Cl La
1 2 1
Cartesian
2.6615 1.5366 1.0866
0.0000 0.0000 0.0000
7.9845 4.6099 3.2597
5.3230 3.0732 2.1731
```

## Properties
Polymorph energy (0 for the lowest one) in eV per formula unit: 2.333
Formation energy (no corrections) in eV/atom: -0.753
Raw total energy in eV per cell: -16.4

=====

The following is a DFT calculation (GGA-PBEsol) of a relaxed LiMnBe crystal.

Geometry as POSCAR:
```
LiMnBe
1.0
-2.1316 -0.0459 -0.8315
-0.3066 -0.3608 2.2389
0.7413 6.1673 0.1920
Be Mn Li
1 1 1
Cartesian
-1.6872 5.6399 1.5813
-0.3288 4.1044 0.6164
-1.3777 1.7769 1.0011
```

## Properties
Formation energy from the elements in eV/atom: 0.21
Raw total energy in eV per cell: -15.1

=====

The following is a DFT calculation (GGA-PBEsol) of a relaxed Ba2SrRu crystal.

Geometry as POSCAR:
```
Ba2SrRu
1.0
-3.3960 -0.5525 4.2678
-0.0846 -3.9157 -4.0950
2.0994 -4.9585 1.0286
Ba Ru Sr
2 1 1
Cartesian
0.0000 0.0000 0.0000
-0.3664 -3.3356 -0.7234
-0.6483 -2.7555 2.6482
-1.0147 -6.0911 1.9248
```

## Properties
Formation energy from the elements in eV/atom: 0.61
Polymorph energy (0 for the lowest one) in eV per formula unit: 0.318
Raw total energy in eV per cell: -13.9

=====

The following is a DFT calculation (GGA-PBEsol) of a relaxed LaCrO4 crystal.

Geometry as POSCAR:
```
LaCrO4
1.0
-3.1449 -5.5458 -1.7627
5.7472 0.1673 -3.9840
3.6090 -3.6526 5.0528
La Cr O
4 4 16
Cartesian
3.6853 -7.2541 -1.1364
3.1500 -3.7809 -3.3788
2.5259 -1.7770 0.4425
3.0613 -5.2501 2.6849
5.2006 -4.4599 -0.1003
4.8489 -1.0995 -2.5553
1.0107 -4.5712 -0.5936
1.3624 -7.9316 1.8614
4.9564 -5.7961 0.9224
3.2231 -6.5993 -3.5556
1.2548 -3.2349 -1.6163
2.9882 -2.4317 2.8618
6.8016 -3.9871 -0.3680
3.6232 -1.9521 -1.7622
-0.5903 -5.0440 -0.3259
2.5881 -7.0790 1.0684
1.2440 -0.3731 -1.1315
1.8805 -4.1615 0.8108
4.9673 -8.6580 0.4376
4.3308 -4.8696 -1.5047
1.1948 -6.9823 3.2484
1.5866 -5.9338 -1.4089
5.0165 -2.0488 -3.9423
4.6247 -3.0973 0.7150
```

## Properties
Formation energy (no corrections) in eV/atom: -2.619
Raw total energy in eV per cell: -209.2